(1)
First-principles (PBE-GGA) data for a relaxed La4Tl3Pb crystal, as listed in Alexandria.

Results
- Calculated formation energy: -0.466 eV per atom
- Space group: I4/mmm (139)
- VASP energy: -4.280 eV/atom

a = 5.665 Å, b = 5.665 Å, c = 8.874 Å
α = 108.60°, β = 108.61°, γ = 90.00°
Positions (direct):
Pb1 0.500 0.000 0.000
Tl1 0.000 0.500 0.000
Tl2 0.753 0.253 0.506
Tl3 0.247 0.747 0.494
La1 0.374 0.374 0.749
La2 0.626 0.626 0.251
La3 0.126 0.126 0.251
La4 0.874 0.874 0.749



(2)
First-principles (PBE-GGA) data for a relaxed LaTlPb3 crystal, as listed in Alexandria.

Results
- Calculated formation energy: -0.072 eV per atom
- Space group: Cmcm (63)
- VASP energy: -3.756 eV/atom
- ΔE to the lowest computed polymorph: 0 meV/atom

a = 6.491 Å, b = 7.572 Å, c = 7.572 Å
α = 102.31°, β = 90.00°, γ = 90.00°
Positions (direct):
La1 0.250 0.249 0.751
La2 0.750 0.751 0.249
Tl1 0.250 0.539 0.461
Tl2 0.750 0.461 0.539
Pb1 0.250 0.949 0.375
Pb2 0.250 0.625 0.051
Pb3 0.750 0.375 0.949
Pb4 0.750 0.051 0.625
Pb5 0.000 0.000 0.000
Pb6 0.500 0.000 0.000



(3)
First-principles (PBE-GGA) data for a relaxed La2TlPb3 crystal, as listed in Alexandria.

Results
- Calculated formation energy: -0.500 eV per atom
- Space group: Cmmm (65)
- VASP energy: -4.391 eV/atom

a = 4.711 Å, b = 4.949 Å, c = 8.296 Å
α = 90.00°, β = 106.50°, γ = 90.00°
Positions (direct):
La1 0.150 0.500 0.300
La2 0.850 0.500 0.700
Tl1 0.000 0.000 0.000
Pb1 0.324 0.000 0.649
Pb2 0.676 0.000 0.351
Pb3 0.500 0.500 0.000



(4)
First-principles (PBE-GGA) data for a relaxed La2TlPb crystal, as listed in Alexandria.

Results
- Calculated formation energy: -0.514 eV per atom
- Space group: I4/mmm (139)
- VASP energy: -4.496 eV/atom

a = 5.910 Å, b = 5.910 Å, c = 5.910 Å
α = 127.60°, β = 127.60°, γ = 77.27°
Positions (direct):
Pb1 0.250 0.750 0.500
Tl1 0.750 0.250 0.500
La1 0.000 0.000 0.000
La2 0.500 0.500 0.000



(5)
First-principles (PBE-GGA) data for a relaxed LaTl3Pb crystal, as listed in Alexandria.

Results
- Calculated formation energy: 0.367 eV per atom
- Space group: Pm-3m (221)
- VASP energy: -2.780 eV/atom
- ΔE to the lowest computed polymorph: 0 meV/atom

a = 5.803 Å, b = 5.803 Å, c = 5.803 Å
α = 90.00°, β = 90.00°, γ = 90.00°
Positions (direct):
Pb1 0.000 0.000 0.000
Tl1 0.000 0.500 0.000
Tl2 0.000 0.000 0.500
Tl3 0.500 0.000 0.000
La1 0.500 0.500 0.500



(6)
First-principles (PBE-GGA) data for a relaxed La2TlPb crystal, as listed in Alexandria.

Results
- Calculated formation energy: -0.481 eV per atom
- Space group: Imm2 (44)
- VASP energy: -4.463 eV/atom

a = 6.551 Å, b = 6.551 Å, c = 6.551 Å
α = 139.93°, β = 134.96°, γ = 61.84°
Positions (direct):
Pb1 0.519 0.519 0.000
Tl1 0.732 0.232 0.500
La1 0.994 0.994 0.000
La2 0.255 0.755 0.500